Density functional theory data (PBE) for RbZn2Sn2 after structural relaxation.

ΔE_f, eV per formula unit: -0.4
DFT total energy, eV/cell: -23.9
Excess energy over the best structure of this formula in the dataset, meV per atom: 13
Fermi-level density of states, states/eV/f.u.: 2.10

Geometry as CIF:
```
data_RbZn2Sn2
_symmetry_space_group_name_H-M 'P 1'
_symmetry_Int_Tables_number 1
_cell_length_a 4.719
_cell_length_b 4.719
_cell_length_c 12.129
_cell_angle_alpha 90.00
_cell_angle_beta 90.00
_cell_angle_gamma 90.00
loop_
_symmetry_equiv_pos_as_xyz
'x,y,z'
loop_
_atom_site_label
_atom_site_fract_x
_atom_site_fract_y
_atom_site_fract_z
_atom_site_occupancy
Rb1 0.000 0.000 0.000 1
Rb2 0.500 0.500 0.500 1
Zn1 0.000 0.000 0.394 1
Zn2 0.000 0.000 0.606 1
Zn3 0.500 0.500 0.106 1
Zn4 0.500 0.500 0.894 1
Sn1 0.000 0.500 0.250 1
Sn2 0.000 0.500 0.750 1
Sn3 0.500 0.000 0.250 1
Sn4 0.500 0.000 0.750 1
```